(1)
# HfCoW2

A geometry-optimized HfCoW2 structure (PBE-GGA, Alexandria).

Output
DOS at the Fermi energy (states/eV per atom): 0.874
Magnetic moment (μB/f.u.): 0.0

Unit cell a=3.6712 b=3.6712 c=20.3193 alpha=90.00 beta=90.00 gamma=90.00
Last column: nearest neighbours and their distance in Å.
Space group I-42d (No. 122)
Symmetry-distinct sites (fractional):
Hf 0.0000 0.0000 0.0000 [4 per cell]  4 Co 2.60, 4 W 2.85
Co 0.0000 0.0000 0.5000 [4 per cell]  4 Hf 2.60, 4 W 2.85
W 0.2485 0.7500 0.1250 [8 per cell]  4 W 2.59-2.60, 2 Hf 2.85, 2 Co 2.85



(2)
# HfCoW2

A geometry-optimized HfCoW2 structure (PBE-GGA, Alexandria).

Output
DOS at the Fermi energy (states/eV per atom): 1.464
Magnetic moment (μB/f.u.): 0.0

Unit cell a=6.3106 b=6.3106 c=6.3106 alpha=90.00 beta=90.00 gamma=90.00
Last column: nearest neighbours and their distance in Å.
Space group Fm-3m (No. 225)
Symmetry-distinct sites (fractional):
Hf 0.0000 0.0000 0.0000 [4 per cell]  8 W 2.73
Co 0.0000 0.0000 0.5000 [4 per cell]  8 W 2.73
W 0.2500 0.2500 0.2500 [8 per cell]  4 Co 2.73, 4 Hf 2.73



(2) has the most favorable energy; the next structure is 172 meV per atom above.



(1)
# Hf2Co2W

A geometry-optimized Hf2Co2W structure (PBE-GGA, Alexandria).

Output
DOS at the Fermi energy (states/eV per atom): 1.035
Magnetic moment (μB/f.u.): 0.0

Unit cell a=7.4202 b=7.4202 c=2.9007 alpha=90.00 beta=90.00 gamma=90.00
Last column: nearest neighbours and their distance in Å.
Space group P4/mbm (No. 127)
Symmetry-distinct sites (fractional):
Hf 0.1537 0.3463 0.0000 [4 per cell]  6 Co 2.55-2.66, 2 W 2.81
Co 0.1463 0.6463 0.5000 [4 per cell]  6 Hf 2.55-2.66
W 0.0000 0.0000 0.0000 [2 per cell]  4 Hf 2.81, 2 W 2.90



(2)
# Hf2Co2W

A geometry-optimized Hf2Co2W structure (PBE-GGA, Alexandria).

Output
DOS at the Fermi energy (states/eV per atom): 0.960
Magnetic moment (μB/f.u.): 2.2

Unit cell a=3.2930 b=3.2930 c=15.6093 alpha=90.00 beta=90.00 gamma=90.00
Last column: nearest neighbours and their distance in Å.
Space group I4/mmm (No. 139)
Symmetry-distinct sites (fractional):
Hf 0.0000 0.0000 0.1061 [4 per cell]  4 Co 2.78, 4 W 2.86
Co 0.0000 0.5000 0.2500 [4 per cell]  4 Co 2.33
W 0.0000 0.0000 0.5000 [2 per cell]  8 Hf 2.86



(3)
# Hf2Co2W

A geometry-optimized Hf2Co2W structure (PBE-GGA, Alexandria).

Output
DOS at the Fermi energy (states/eV per atom): 1.354
Magnetic moment (μB/f.u.): 0.0

Unit cell a=6.3042 b=6.3042 c=4.0708 alpha=90.00 beta=90.00 gamma=90.00
Last column: nearest neighbours and their distance in Å.
Space group P4/mbm (No. 127)
Symmetry-distinct sites (fractional):
Hf 0.1772 0.3228 0.0000 [4 per cell]  6 Co 2.65-2.84
Co 0.1329 0.6329 0.5000 [4 per cell]  1 Co 2.37, 2 W 2.46, 2 Hf 2.65
W 0.0000 0.0000 0.5000 [2 per cell]  4 Co 2.46



(3) has the most favorable energy; the next structure is 312 meV per atom above.



(1)
# YHf3Co

A geometry-optimized YHf3Co structure (PBE-GGA, Alexandria).

Output
DOS at the Fermi energy (states/eV per atom): 1.604
Magnetic moment (μB/f.u.): 0.0

Unit cell a=4.8847 b=4.8847 c=4.8847 alpha=90.00 beta=90.00 gamma=90.00
Last column: nearest neighbours and their distance in Å.
Space group Pm-3m (No. 221)
Symmetry-distinct sites (fractional):
Y 0.0000 0.0000 0.0000 [1 per cell]  12 Hf 3.45
Hf 0.0000 0.5000 0.5000 [3 per cell]  2 Co 2.44
Co 0.5000 0.5000 0.5000 [1 per cell]  6 Hf 2.44



(2)
# YHf3Co

A geometry-optimized YHf3Co structure (PBE-GGA, Alexandria).

Output
DOS at the Fermi energy (states/eV per atom): 1.479
Magnetic moment (μB/f.u.): 0.0

Unit cell a=5.0570 b=5.0570 c=5.0570 alpha=90.00 beta=90.00 gamma=90.00
Last column: nearest neighbours and their distance in Å.
Space group Pm-3m (No. 221)
Symmetry-distinct sites (fractional):
Y 0.0000 0.0000 0.0000 [1 per cell]  6 Hf 2.53
Hf 0.0000 0.0000 0.5000 [3 per cell]  2 Y 2.53
Co 0.5000 0.5000 0.5000 [1 per cell]  12 Hf 3.58



(1) has the most favorable energy; the next structure is 1960 meV per atom above.



(1)
# Y2HfCo

A geometry-optimized Y2HfCo structure (PBE-GGA, Alexandria).

Output
DOS at the Fermi energy (states/eV per atom): 2.509
Magnetic moment (μB/f.u.): 0.0

Unit cell a=7.1395 b=7.1395 c=7.1395 alpha=90.00 beta=90.00 gamma=90.00
Last column: nearest neighbours and their distance in Å.
Space group Fm-3m (No. 225)
Symmetry-distinct sites (fractional):
Y 0.2500 0.2500 0.2500 [8 per cell]  4 Hf 3.09, 4 Co 3.09
Hf 0.0000 0.0000 0.0000 [4 per cell]  8 Y 3.09
Co 0.0000 0.0000 0.5000 [4 per cell]  8 Y 3.09



(2)
# Y2HfCo

A geometry-optimized Y2HfCo structure (PBE-GGA, Alexandria).

Output
DOS at the Fermi energy (states/eV per atom): 1.355
Magnetic moment (μB/f.u.): 0.0

Unit cell a=8.1051 b=8.1051 c=5.8323 alpha=90.00 beta=90.00 gamma=90.00
Last column: nearest neighbours and their distance in Å.
Space group I-42d (No. 122)
Symmetry-distinct sites (fractional):
Y 0.1790 0.2500 0.1250 [8 per cell]  2 Co 2.60
Hf 0.0000 0.0000 0.5000 [4 per cell]  2 Co 2.92
Co 0.0000 0.0000 0.0000 [4 per cell]  4 Y 2.60



(2) has the most favorable energy; the next structure is 104 meV per atom above.



(1)
# Hf6Zn2Co

A geometry-optimized Hf6Zn2Co structure (PBE-GGA, Alexandria).

Output
DOS at the Fermi energy (states/eV per atom): 1.289
Magnetic moment (μB/f.u.): 0.0

Unit cell a=7.8488 b=7.8488 c=3.2357 alpha=90.00 beta=90.00 gamma=120.00
Last column: nearest neighbours and their distance in Å.
Space group P-62m (No. 189)
Symmetry-distinct sites (fractional):
Hf 0.0000 0.3982 0.0000 [3 per cell]  4 Zn 2.90, 1 Co 3.13, 8 Hf 3.18-3.24
Hf 0.0000 0.7492 0.5000 [3 per cell]  2 Co 2.55
Zn 0.3333 0.6667 0.5000 [2 per cell]  9 Hf 2.90-2.99, 2 Zn 3.24
Co 0.0000 0.0000 0.0000 [1 per cell]  6 Hf 2.55



(2)
# Hf6Zn2Co

A geometry-optimized Hf6Zn2Co structure (PBE-GGA, Alexandria).

Output
DOS at the Fermi energy (states/eV per atom): 0.966
Magnetic moment (μB/f.u.): 0.0

Unit cell a=5.3508 b=7.7174 c=9.5669 alpha=90.00 beta=117.22 gamma=90.00
Last column: nearest neighbours and their distance in Å.
Space group P2_1/c (No. 14)
Symmetry-distinct sites (fractional):
Hf 0.0590 0.1798 0.4540 [4 per cell]  1 Co 2.55, 2 Zn 2.70-2.77
Hf 0.3595 0.6825 0.4506 [4 per cell]  1 Co 2.60, 2 Zn 2.79-2.88
Hf 0.3954 0.0361 0.2792 [4 per cell]  1 Co 2.55, 1 Zn 2.84
Zn 0.1500 0.1084 0.7579 [4 per cell]  9 Hf 2.70-3.01, 1 Co 2.90
Co 0.0000 0.0000 0.0000 [2 per cell]  6 Hf 2.55-2.60



(1) has the most favorable energy; the next structure is 151 meV per atom above.



(1)
# HfZn4Co

A geometry-optimized HfZn4Co structure (PBE-GGA, Alexandria).

Output
DOS at the Fermi energy (states/eV per atom): 0.545
Magnetic moment (μB/f.u.): 1.0

Unit cell a=7.0686 b=7.0686 c=7.0686 alpha=90.00 beta=90.00 gamma=90.00
Last column: nearest neighbours and their distance in Å.
Space group F-43m (No. 216)
Symmetry-distinct sites (fractional):
Hf 0.0000 0.0000 0.0000 [4 per cell]  12 Zn 2.93, 4 Co 3.06
Zn 0.1247 0.1247 0.3753 [16 per cell]  6 Zn 2.49-2.51
Co 0.2500 0.2500 0.7500 [4 per cell]  12 Zn 2.93, 4 Hf 3.06



(2)
# HfZn4Co

A geometry-optimized HfZn4Co structure (PBE-GGA, Alexandria).

Output
DOS at the Fermi energy (states/eV per atom): 0.648
Magnetic moment (μB/f.u.): 1.2

Unit cell a=13.4334 b=6.2925 c=4.7800 alpha=90.00 beta=110.70 gamma=90.00
Last column: nearest neighbours and their distance in Å.
Space group C2/m (No. 12)
Symmetry-distinct sites (fractional):
Hf 0.2094 0.0000 0.2074 [4 per cell]  10 Zn 2.82-2.98
Zn 0.0000 0.1828 0.0000 [4 per cell]  1 Zn 2.30, 2 Co 2.37
Zn 0.1158 0.2134 0.6142 [8 per cell]  2 Co 2.57, 3 Zn 2.69-2.81, 1 Hf 2.84
Zn 0.1706 0.5000 0.1729 [4 per cell]  2 Co 2.49-2.50
Co 0.0007 0.5000 0.7340 [4 per cell]  1 Co 2.23, 4 Zn 2.37-2.50



(1) has the most favorable energy; the next structure is 108 meV per atom above.